Computed, not measured: a relaxed structure of CeCo2Si3 at the PBE level of DFT.

It has space group Cmcm (No. 63), with a = 9.713 Å, b = 7.242 Å, c = 4.981 Å, α = 90.00°, β = 90.00° and γ = 90.00°. The distinct sites, in fractional coordinates, are Ce at (0.000, 0.154, 0.250), Co at (0.192, 0.500, 0.000), Si at (0.000, 0.426, 0.750) and Si at (0.194, 0.215, 0.750).

The total magnetization is 2.15 μB per cell. The calculation puts the uncorrected formation energy at -0.668 eV/atom. As for the volume: 87.6 Å³/f.u. For the total energy, the calculation gives -6.737 eV/atom.

***

Computed, not measured: a relaxed structure of Ta2FeAu at the PBE level of DFT.

It has space group Imm2 (No. 44), with a = 3.099 Å, b = 4.601 Å, c = 9.217 Å, α = 90.00°, β = 90.00° and γ = 90.00°. The distinct sites, in fractional coordinates, are Ta at (0.000, 0.000, 0.000), Ta at (0.000, 0.500, 0.228), Fe at (0.000, 0.500, 0.714) and Au at (0.000, 0.000, 0.450).

The total magnetization is 2.34 μB per cell. The calculated formation energy is 0.39 eV/f.u. As for the volume: 65.7 Å³/f.u. For the relative energy among the computed polymorphs, the calculation gives 127 meV per atom. For the total energy, the calculation gives -8.764 eV/atom.

***

Computed, not measured: a relaxed structure of CaSm2Tm at the PBE level of DFT.

It has space group R3m (No. 160, hexagonal axes), with a = 3.6162 Å, b = 3.6162 Å, c = 36.3263 Å, α = 90.00°, β = 90.00° and γ = 120.00°. The distinct sites, in fractional coordinates, are Ca at (0.0000, 0.0000, 0.0000), Sm at (0.0000, 0.0000, 0.2445), Sm at (0.0000, 0.0000, 0.4225) and Tm at (0.0000, 0.0000, 0.8337).

The total magnetization is 0.00 μB per cell. The calculated formation energy is 0.20 eV/f.u. As for the volume: 137.1 Å³/f.u. For the relative energy among the computed polymorphs, the calculation gives 0 meV per atom. For the total energy, the calculation gives -3.927 eV/atom.